The following is a PBEsol calculation of a relaxed TlAs crystal, from Alexandria via LeMat-Bulk.

It has space group R-3m (No. 166, hexagonal axes), with a = 3.1848 Å, b = 3.1848 Å, c = 16.0511 Å, α = 90.00°, β = 90.00° and γ = 120.00°. The distinct sites, in fractional coordinates, are Tl at (0.0000, 0.0000, 0.0000) and As at (0.0000, 0.0000, 0.5000).

The density of states at the Fermi level comes out at 0.6099 states/eV/atom. Its total magnetization is 0.00 μB/cell. Its energy of formation is 0.33 eV/atom.